Density functional theory data (PBE) for KPOsPb after structural relaxation.

The calculated formation energy comes out at -0.165 eV per atom.

The structure belongs to space group P4/nmm (No. 129, origin choice 2); the cell edges are 4.180, 4.180 and 12.638 Å and the angles 90.00°, 90.00° and 90.00°. The inequivalent atoms are K at (0.250, 0.250, 0.230), P at (0.250, 0.250, 0.911), Os at (0.250, 0.750, 0.000) and Pb at (0.250, 0.750, 0.500).


Density functional theory data (PBE) for Li2Pr2PtO6 after structural relaxation.

For the formation energy from raw total energies, the calculation gives -2.0129 eV per atom.

The structure belongs to space group R-3m (No. 166, hexagonal axes); the cell edges are 5.6251, 5.6251 and 15.2438 Å and the angles 90.00°, 90.00° and 120.00°. The inequivalent atoms are Li at (0.0000, 0.0000, 0.0756), Pr at (0.0000, 0.0000, 0.2845), Pt at (0.0000, 0.0000, 0.5000) and O at (0.0281, 0.5140, 0.2573).


Density functional theory data (PBE) for Sr2Ga4Ag5 after structural relaxation.

The calculated formation energy comes out at -0.248 eV per atom.

The structure belongs to space group Fmmm (No. 69); the cell edges are 6.052, 10.095 and 16.253 Å and the angles 90.00°, 90.00° and 90.00°. The inequivalent atoms are Sr at (0.000, 0.000, 0.140), Ga at (0.000, 0.150, 0.369), Ag at (0.000, 0.000, 0.500), Ag at (0.250, 0.250, 0.000) and Ag at (0.250, 0.250, 0.250).


Copy entry 3 word for word.
Density functional theory data (PBE) for Sr2Ga4Ag5 after structural relaxation.

The calculated formation energy comes out at -0.248 eV per atom.

The structure belongs to space group Fmmm (No. 69); the cell edges are 6.052, 10.095 and 16.253 Å and the angles 90.00°, 90.00° and 90.00°. The inequivalent atoms are Sr at (0.000, 0.000, 0.140), Ga at (0.000, 0.150, 0.369), Ag at (0.000, 0.000, 0.500), Ag at (0.250, 0.250, 0.000) and Ag at (0.250, 0.250, 0.250).


Copy entry 1 word for word.
Density functional theory data (PBE) for KPOsPb after structural relaxation.

The calculated formation energy comes out at -0.165 eV per atom.

The structure belongs to space group P4/nmm (No. 129, origin choice 2); the cell edges are 4.180, 4.180 and 12.638 Å and the angles 90.00°, 90.00° and 90.00°. The inequivalent atoms are K at (0.250, 0.250, 0.230), P at (0.250, 0.250, 0.911), Os at (0.250, 0.750, 0.000) and Pb at (0.250, 0.750, 0.500).


- Which formula does entry 3 have?
  Sr2Ga4Ag5